The following is a DFT calculation (GGA-PBEsol) of a relaxed structure of GeNO2F.

spin magnetization	3.85	μB per formula unit
calculated volume	53.1	Å³/cell
E_form (uncorrected)	354	meV per atom

Geometry as CIF:
```
data_GeNO2F
_chemical_formula_sum 'Ge1 N1 O2 F1'
_cell_length_a 3.708
_cell_length_b 3.708
_cell_length_c 3.860
_cell_angle_alpha 90.00
_cell_angle_beta 90.00
_cell_angle_gamma 90.00
_space_group_name_H-M_alt 'P 4/m m m'
_space_group_IT_number 123
_space_group_name_Hall '-P 4 2'
loop_
_atom_site_label
_atom_site_type_symbol
_atom_site_fract_x
_atom_site_fract_y
_atom_site_fract_z
Ge1 Ge 0.000 0.000 0.000
N1 N 0.000 0.000 0.500
O1 O 0.000 0.500 0.000
F1 F 0.500 0.500 0.500
```

=====

The following is a DFT calculation (GGA-PBEsol) of a relaxed structure of BaMg2Zr.

spin magnetization	0.00	μB per formula unit
calculated volume	218.8	Å³/cell
raw total energy	-0.123	hartree per atom

Geometry as CIF:
```
data_BaMg2Zr
_chemical_formula_sum 'Ba2 Mg4 Zr2'
_cell_length_a 3.382
_cell_length_b 5.742
_cell_length_c 11.267
_cell_angle_alpha 90.00
_cell_angle_beta 90.00
_cell_angle_gamma 90.00
_space_group_name_H-M_alt 'I m m 2'
_space_group_IT_number 44
loop_
_space_group_symop_operation_xyz
'x,y,z'
'-x,-y,z'
'-x,y,z'
'x,-y,z'
'x+1/2,y+1/2,z+1/2'
'-x+1/2,-y+1/2,z+1/2'
'-x+1/2,y+1/2,z+1/2'
'x+1/2,-y+1/2,z+1/2'
loop_
_atom_site_label
_atom_site_type_symbol
_atom_site_fract_x
_atom_site_fract_y
_atom_site_fract_z
Ba1 Ba 0.000 0.000 0.000
Mg1 Mg 0.000 0.000 0.495
Mg2 Mg 0.000 0.500 0.772
Zr1 Zr 0.000 0.500 0.226
```

=====

The following is a DFT calculation (GGA-PBEsol) of a relaxed structure of TlCuTe2Pd.

spin magnetization	0.00	μB per formula unit
calculated volume	148.3	Å³/cell
E_form (uncorrected)	1111	meV per atom

Geometry as CIF:
```
data_TlCuTe2Pd
_chemical_formula_sum 'Tl1 Cu1 Te2 Pd1'
_cell_length_a 5.612
_cell_length_b 5.612
_cell_length_c 4.709
_cell_angle_alpha 90.00
_cell_angle_beta 90.00
_cell_angle_gamma 90.00
_space_group_name_H-M_alt 'P 4/m m m'
_space_group_IT_number 123
_space_group_name_Hall '-P 4 2'
loop_
_atom_site_label
_atom_site_type_symbol
_atom_site_fract_x
_atom_site_fract_y
_atom_site_fract_z
Tl1 Tl 0.000 0.000 0.000
Cu1 Cu 0.000 0.000 0.500
Te1 Te 0.000 0.500 0.000
Pd1 Pd 0.500 0.500 0.500
```